# Pr2NdMoO8 | Alexandria | PBE+U | relaxed
# Calculated total energy, eV per atom: -7.5778
# Total moment, μB/cell: 0.96
# DOS(E_F), states/eV per cell: 2.06
data_Pr2NdMoO8
_symmetry_space_group_name_H-M 'P 1 2/m 1'
_symmetry_Int_Tables_number 10
_symmetry_space_group_name_Hall '-P 2y'
_cell_length_a 4.296
_cell_length_b 7.311
_cell_length_c 5.471
_cell_angle_alpha 90.00
_cell_angle_beta 95.38
_cell_angle_gamma 90.00
loop_
_atom_site_label
_atom_site_type_symbol
_atom_site_fract_x
_atom_site_fract_y
_atom_site_fract_z
_atom_site_occupancy
Pr1 Pr 0.000 0.246 0.000 1
Nd1 Nd 0.500 0.500 0.500 1
Mo1 Mo 0.500 0.000 0.500 1
O1 O 0.019 0.500 0.253 1
O2 O 0.090 0.000 0.318 1
O3 O 0.441 0.203 0.733 1